# PrY3Er2Bi6

A geometry-optimized PrY3Er2Bi6 structure (GGA-PBE, Alexandria via LeMat-Bulk).

Lattice parameters (Å, degrees): 7.7954 7.7954 7.7909 99.61 99.61 120.02
Positions (direct):
Pr1 0.0000 0.0000 0.0000
Y1 0.1632 0.8368 0.5000
Y2 0.5000 0.5000 0.5000
Y3 0.8368 0.1632 0.5000
Er1 0.3322 0.6678 0.0000
Er2 0.6678 0.3322 0.0000
Bi1 0.0845 0.4251 0.2527
Bi2 0.2582 0.2582 0.7508
Bi3 0.4251 0.0845 0.2527
Bi4 0.5749 0.9155 0.7473
Bi5 0.7418 0.7418 0.2492
Bi6 0.9155 0.5749 0.7473

Properties
formation energy = -874 meV per atom
E = -67.1 eV/cell